An optimized crystal structure of CrSiS3. Source: the Alexandria database, functional PBE. Values from VASP.

## Properties
electronic total energy = -25.84 eV/cell
formation energy (no corrections) = 0.318 eV per atom
space group = No. 221
energy above the most stable polymorph in this dataset = 0.000 eV/f.u.

Geometry as Quantum ESPRESSO input:
```
&SYSTEM
  ibrav = 0, nat = 5, ntyp = 3
/
ATOMIC_SPECIES
Cr 52.00 Cr.upf
S 32.06 S.upf
Si 28.09 Si.upf
ATOMIC_POSITIONS angstrom
Cr -1.1281 -1.7949 -3.2661
S 1.3791 -0.7849 -1.5924
S -1.1881 -1.9064 -0.0893
S -1.3192 0.8964 -1.5843
Si 0.0000 0.0000 0.0000
CELL_PARAMETERS angstrom
-2.6383 1.7928 -3.1687
2.7583 -1.5698 -3.1848
-2.3762 -3.8127 -0.1787
```